[1]
DFT (GGA-PBE) results for a relaxed AcNd3Th2As6 crystal.

* size of the total moment: 0.00 μB per formula unit
* formation energy: -1.474 eV/atom
* space-group type: C2/m (12)

Lattice parameters (Å, degrees): 4.3122 8.6197 9.6277 102.72 102.94 90.00
With the nearest neighbours (Å) after each atom.
Positions (direct):
Ac: 0.5000 0.0000 0.0000  6 As 3.11-3.12
Nd: 0.5000 0.5000 0.0000  6 As 2.99-3.07
Nd: 0.8349 0.1674 0.6698  6 As 3.00-3.08
Nd: 0.1651 0.8326 0.3302  6 As 3.00-3.08
Th: 0.8328 0.6664 0.6656  6 As 3.01-3.03
Th: 0.1672 0.3336 0.3344  6 As 3.01-3.03
As: 0.3291 0.9104 0.6583  3 Nd 3.00-3.08, 2 Th 3.02, 1 Ac 3.12
As: 0.6677 0.5808 0.3354  3 Th 3.02-3.03, 3 Nd 3.07
As: 0.6709 0.0896 0.3417  3 Nd 3.00-3.08, 2 Th 3.02, 1 Ac 3.12
As: 0.0026 0.2616 0.0053  3 Nd 2.99-3.07, 1 Th 3.01, 2 Ac 3.11
As: 0.9974 0.7384 0.9947  3 Nd 2.99-3.07, 1 Th 3.01, 2 Ac 3.11
As: 0.3323 0.4192 0.6646  3 Th 3.02-3.03, 3 Nd 3.07


[2]
DFT (GGA-PBE) results for a relaxed SiOsPt2 crystal.

* size of the total moment: 0.00 μB per formula unit
* formation energy from raw total energies: 46 meV/atom
* space-group type: Pmmm (47)

Lattice parameters (Å, degrees): 2.8653 4.4707 4.6200 90.00 90.00 90.00
With the nearest neighbours (Å) after each atom.
Positions (direct):
Os: 0.0000 0.5000 0.5000  4 Si 2.66, 4 Pt 2.72, 2 Os 2.87
Pt: 0.0000 0.0000 0.0000  6 Pt 2.66-2.87, 4 Si 2.72
Pt: 0.5000 0.5000 0.0000  6 Pt 2.66-2.87, 4 Os 2.72
Si: 0.5000 0.0000 0.5000  4 Os 2.66, 4 Pt 2.72, 2 Si 2.87


[3]
DFT (GGA-PBE) results for a relaxed SrPdCl2 crystal.

* size of the total moment: 0.00 μB per formula unit
* formation energy from raw total energies: -1266 meV/atom
* relative energy among the computed polymorphs: 51 meV/atom
* space-group type: Fm-3m (225)

Lattice parameters (Å, degrees): 4.9835 4.9835 4.9835 60.00 60.00 60.00
With the nearest neighbours (Å) after each atom.
Positions (direct):
Sr: 0.0000 0.0000 0.0000  8 Cl 3.05
Pd: 0.5000 0.5000 0.5000  8 Cl 3.05
Cl: 0.2500 0.2500 0.2500  4 Pd 3.05, 4 Sr 3.05
Cl: 0.7500 0.7500 0.7500  4 Pd 3.05, 4 Sr 3.05


[4]
DFT (GGA-PBE) results for a relaxed K2AcInSe4 crystal.

* size of the total moment: 0.00 μB per formula unit
* formation energy from raw total energies: -1261 meV/atom
* space-group type: Imma (74)

Lattice parameters (Å, degrees): 8.9516 8.9516 9.2124 120.96 120.96 90.47
With the nearest neighbours (Å) after each atom.
Positions (direct):
K: 0.5000 0.0000 0.0000  6 Se 3.23-3.24
K: 0.5000 0.0000 0.5000  6 Se 3.23-3.24
K: 0.0000 0.0000 0.5000  6 Se 3.37-3.46
K: 0.5000 0.5000 0.0000  6 Se 3.37-3.46
Ac: 0.0000 0.5000 0.0000  6 Se 3.09-3.16
Ac: 0.0000 0.5000 0.5000  6 Se 3.09-3.16
In: 0.5000 0.5000 0.5000  6 Se 2.87-2.99
In: 0.0000 0.0000 0.0000  6 Se 2.87-2.99
Se: 0.2238 0.7533 0.9885  1 In 2.99, 2 Ac 3.09, 2 K 3.23
Se: 0.7467 0.2762 0.5115  1 In 2.99, 2 Ac 3.09, 2 K 3.23
Se: 0.2533 0.7238 0.4885  1 In 2.99, 2 Ac 3.09, 2 K 3.23
Se: 0.7762 0.2467 0.0115  1 In 2.99, 2 Ac 3.09, 2 K 3.23
Se: 0.7538 0.7473 0.9567  2 In 2.87, 1 Ac 3.16
Se: 0.7527 0.7462 0.5433  2 In 2.87, 1 Ac 3.16
Se: 0.2473 0.2538 0.4567  2 In 2.87, 1 Ac 3.16
Se: 0.2462 0.2527 0.0433  2 In 2.87, 1 Ac 3.16